## w
VASP calculation (GGA-PBE) on La4PrMg after structural relaxation.

Cell and atoms, written as POSCAR:
```
La4PrMg
1.0
-4.973 6.138 4.369
0.609 -6.019 1.106
9.531 1.753 3.080
La Mg Pr
8 2 2
Direct
0.231 0.859 0.438
0.945 0.173 0.907
0.769 0.141 0.562
0.462 0.734 0.907
0.055 0.827 0.093
0.293 0.421 0.562
0.538 0.266 0.093
0.707 0.579 0.438
0.638 0.388 0.776
0.362 0.612 0.224
0.128 0.878 0.756
0.872 0.122 0.244
```

Computed properties:
The calculation puts the volume at 34.195 A^3/atom.

## x
VASP calculation (GGA-PBE) on La4PrMg after structural relaxation.

Cell and atoms, written as POSCAR:
```
La4PrMg
1.0
-1.029 -3.635 -0.168
0.274 -0.251 3.764
-14.000 3.905 1.279
La Pr Mg
4 1 1
Direct
0.000 0.000 0.650
0.500 0.500 0.178
0.000 0.000 0.350
0.500 0.500 0.822
0.000 0.000 0.000
0.500 0.500 0.500
```

Computed properties:
The calculation puts the volume at 34.784 A^3/atom.

Which of them is most stable? Easy: x.

## w
VASP calculation (GGA-PBE) on La6Pr12Mg after structural relaxation.

Cell and atoms, written as POSCAR:
```
La6Pr12Mg
1.0
-6.872 -3.730 4.463
-3.863 0.479 -8.118
4.854 -7.464 -1.336
La Mg Pr
6 1 12
Direct
0.864 0.863 0.591
0.136 0.137 0.409
0.863 0.591 0.864
0.409 0.136 0.137
0.137 0.409 0.136
0.591 0.864 0.863
0.000 0.000 0.000
0.829 0.416 0.415
0.261 0.001 0.739
0.416 0.415 0.829
0.739 0.999 0.261
0.171 0.584 0.585
0.584 0.585 0.171
0.739 0.261 0.001
0.999 0.261 0.739
0.415 0.829 0.416
0.261 0.739 0.999
0.585 0.171 0.584
0.001 0.739 0.261
```

Computed properties:
The calculation puts the volume at 37.122 A^3/atom.

## x
VASP calculation (GGA-PBE) on La6Pr12Mg after structural relaxation.

Cell and atoms, written as POSCAR:
```
La6Pr12Mg
1.0
-1.519 -7.891 3.629
5.475 -3.814 -5.764
6.772 1.131 5.533
La Pr Mg
6 12 1
Direct
0.266 0.095 0.708
0.905 0.292 0.734
0.734 0.905 0.292
0.708 0.266 0.095
0.292 0.734 0.905
0.095 0.708 0.266
0.974 0.830 0.634
0.026 0.170 0.366
0.170 0.366 0.026
0.530 0.434 0.785
0.215 0.470 0.566
0.366 0.026 0.170
0.434 0.785 0.530
0.470 0.566 0.215
0.634 0.974 0.830
0.566 0.215 0.470
0.785 0.530 0.434
0.830 0.634 0.974
0.000 0.000 0.000
```

Computed properties:
The calculation puts the volume at 36.074 A^3/atom.

Which of them is most stable? Easy: x.

## w
VASP calculation (GGA-PBE) on La3Pr4Mg after structural relaxation.

Cell and atoms, written as POSCAR:
```
La3Pr4Mg
1.0
-2.451 3.029 5.120
3.265 -4.885 4.453
9.603 6.891 0.519
La Mg Pr
6 2 8
Direct
0.649 0.121 0.741
0.495 0.876 0.000
0.149 0.879 0.759
0.995 0.124 0.500
0.149 0.879 0.241
0.649 0.121 0.259
0.482 0.877 0.500
0.982 0.123 0.000
0.961 0.614 0.000
0.490 0.372 0.000
0.645 0.632 0.740
0.145 0.368 0.240
0.645 0.632 0.260
0.145 0.368 0.760
0.461 0.386 0.500
0.990 0.628 0.500
```

Computed properties:
The calculation puts the volume at 35.076 A^3/atom.

## x
VASP calculation (GGA-PBE) on La3Pr4Mg after structural relaxation.

Cell and atoms, written as POSCAR:
```
La3Pr4Mg
1.0
-0.687 -2.064 -3.071
-2.527 -2.020 1.923
-14.226 12.701 -5.352
La Pr Mg
3 4 1
Direct
0.500 0.500 0.764
0.500 0.500 0.236
0.500 0.500 0.500
0.000 0.000 0.631
0.000 0.000 0.108
0.000 0.000 0.892
0.000 0.000 0.369
0.500 0.500 0.000
```

Computed properties:
The calculation puts the volume at 35.060 A^3/atom.

Which of them is most stable? Easy: x.